The following is a GGA-PBE calculation of a relaxed structure of Ni2AgRu, from Alexandria via LeMat-Bulk.

The formation energy is 34 kJ/mol of atoms. For the energy above the most stable polymorph in this dataset, the calculation gives 152.9 meV/atom.

The structure belongs to space group Pmm2 (No. 25); the cell edges are 2.652, 3.673 and 5.564 Å and the angles 90.00°, 90.00° and 90.00°. The inequivalent atoms are Ni at (0.000, 0.000, 0.000), Ni at (0.500, 0.500, 0.231), Ag at (0.500, 0.500, 0.741) and Ru at (0.000, 0.000, 0.436).

***

The following is a GGA-PBE calculation of a relaxed structure of NiAgRu2, from Alexandria via LeMat-Bulk.

The formation energy is 51 kJ/mol of atoms. For the energy above the most stable polymorph in this dataset, the calculation gives 271.4 meV/atom.

The structure belongs to space group Imm2 (No. 44); the cell edges are 2.784, 4.586 and 8.988 Å and the angles 90.00°, 90.00° and 90.00°. The inequivalent atoms are Ni at (0.000, 0.000, 0.000), Ag at (0.000, 0.500, 0.249), Ru at (0.000, 0.000, 0.475) and Ru at (0.000, 0.500, 0.737).

***

The following is a GGA-PBE calculation of a relaxed structure of NiAgRu2, from Alexandria via LeMat-Bulk.

The formation energy is 49 kJ/mol of atoms. For the energy above the most stable polymorph in this dataset, the calculation gives 254.9 meV/atom.

The structure belongs to space group I4/mmm (No. 139); the cell edges are 3.715, 3.715 and 8.197 Å and the angles 90.00°, 90.00° and 90.00°. The inequivalent atoms are Ni at (0.000, 0.000, 0.000), Ag at (0.000, 0.000, 0.500) and Ru at (0.000, 0.500, 0.250).

***

Number 1: density of states at the Fermi level 1.3631 states/eV/atom, theoretical density 10.0 g/cm3. Number 2: density of states at the Fermi level 1.3586 states/eV/atom, theoretical density 10.7 g/cm3. Number 3: density of states at the Fermi level 1.4354 states/eV/atom, theoretical density 10.8 g/cm3.